Entry 1:
{"formula": "La5CePmSm2", "functional": "PBE", "state": "optimized geometry", "volume_a3_per_atom": 35.950, "ef_mev_per_atom": 265, "cell": [[9.488, 0.000, 0.000], [0.000, 8.259, 0.000], [0.000, 0.000, 8.259]], "species": ["Sm", "Sm", "Sm", "Sm", "La", "La", "La", "La", "La", "La", "La", "La", "La", "La", "Ce", "Ce", "Pm", "Pm"], "frac_coords": [[0.500, 0.630, 0.130], [0.500, 0.370, 0.870], [0.500, 0.130, 0.370], [0.500, 0.870, 0.630], [0.775, 0.307, 0.193], [0.775, 0.693, 0.807], [0.775, 0.193, 0.693], [0.225, 0.807, 0.307], [0.225, 0.307, 0.193], [0.225, 0.693, 0.807], [0.225, 0.193, 0.693], [0.775, 0.807, 0.307], [0.500, 0.000, 0.000], [0.500, 0.500, 0.500], [0.000, 0.500, 0.000], [0.000, 0.000, 0.500], [0.000, 0.000, 0.000], [0.000, 0.500, 0.500]]}

***

Entry 2:
{"formula": "La2CePm3Sm6", "functional": "PBE", "state": "optimized geometry", "volume_a3_per_atom": 34.285, "ef_mev_per_atom": 37, "cell": [[-4.946, 2.668, 2.910], [1.700, -5.926, 1.429], [8.300, 5.207, 7.026]], "species": ["La", "La", "Ce", "Sm", "Sm", "Sm", "Sm", "Sm", "Sm", "Pm", "Pm", "Pm"], "frac_coords": [[0.334, 0.666, 0.000], [0.666, 0.334, 0.000], [0.000, 0.000, 0.000], [0.413, 0.083, 0.250], [0.247, 0.247, 0.750], [0.753, 0.753, 0.250], [0.917, 0.587, 0.750], [0.587, 0.917, 0.750], [0.083, 0.413, 0.250], [0.833, 0.167, 0.500], [0.500, 0.500, 0.500], [0.167, 0.833, 0.500]]}

***

Entry 3:
{"formula": "LaCePmSm2", "functional": "PBE", "state": "optimized geometry", "volume_a3_per_atom": 34.282, "ef_mev_per_atom": 260, "cell": [[6.432, 0.000, 0.000], [0.000, 8.470, 1.143], [0.000, -1.470, 6.094]], "species": ["Ce", "Ce", "Sm", "Sm", "Sm", "Sm", "La", "La", "Pm", "Pm"], "frac_coords": [[0.545, 0.000, 0.250], [0.455, 0.000, 0.750], [0.680, 0.308, 0.718], [0.320, 0.308, 0.218], [0.320, 0.692, 0.282], [0.680, 0.692, 0.782], [0.000, 0.000, 0.000], [0.000, 0.000, 0.500], [0.833, 0.500, 0.250], [0.167, 0.500, 0.750]]}

***

Entry 4:
{"formula": "La2CePmSm2", "functional": "PBE", "state": "optimized geometry", "volume_a3_per_atom": 34.960, "ef_mev_per_atom": 261, "cell": [[3.443, 0.000, 0.000], [0.000, 6.668, 0.000], [0.000, 0.000, 18.271]], "species": ["La", "La", "La", "La", "Pm", "Pm", "Sm", "Sm", "Sm", "Sm", "Ce", "Ce"], "frac_coords": [[0.000, 0.789, 0.185], [0.500, 0.289, 0.315], [0.500, 0.711, 0.685], [0.000, 0.211, 0.815], [0.500, 0.500, 0.500], [0.000, 0.000, 0.000], [0.500, 0.202, 0.644], [0.000, 0.298, 0.144], [0.000, 0.702, 0.856], [0.500, 0.798, 0.356], [0.500, 0.500, 0.000], [0.000, 0.000, 0.500]]}

***

Entry 5:
{"formula": "LaTbCePm", "functional": "PBE", "state": "optimized geometry", "volume_a3_per_atom": 34.134, "ef_mev_per_atom": 200, "cell": [[5.780, 0.000, 0.000], [2.890, 5.006, 0.000], [2.890, 1.669, 4.719]], "species": ["La", "Tb", "Pm", "Ce"], "frac_coords": [[0.500, 0.500, 0.500], [0.250, 0.250, 0.250], [0.000, 0.000, 0.000], [0.750, 0.750, 0.750]]}

***

Entry 6:
{"formula": "La6Tb2CePm", "functional": "PBE", "state": "optimized geometry", "volume_a3_per_atom": 35.779, "ef_mev_per_atom": 220, "cell": [[-3.968, 0.579, -8.090], [-5.806, -2.520, 2.667], [2.076, 6.479, 1.797]], "species": ["Ce", "Tb", "Tb", "La", "La", "La", "La", "La", "La", "Pm"], "frac_coords": [[0.000, 0.500, 0.000], [0.178, 0.102, 0.205], [0.822, 0.898, 0.795], [0.192, 0.593, 0.705], [0.586, 0.338, 0.675], [0.808, 0.888, 0.295], [0.808, 0.407, 0.295], [0.414, 0.662, 0.325], [0.192, 0.112, 0.705], [0.500, 0.000, 0.000]]}

***

Entry 7:
{"formula": "LaTb5CePm2", "functional": "PBE", "state": "optimized geometry", "volume_a3_per_atom": 33.145, "ef_mev_per_atom": 261, "cell": [[-5.947, 1.232, 6.244], [-2.876, -8.143, -1.132], [9.537, 0.897, 2.831]], "species": ["Tb", "Tb", "Tb", "Tb", "Tb", "Tb", "Tb", "Tb", "Tb", "Tb", "Pm", "Pm", "Pm", "Pm", "La", "La", "Ce", "Ce"], "frac_coords": [[0.500, 0.500, 0.000], [0.000, 0.000, 0.000], [0.563, 0.662, 0.725], [0.162, 0.063, 0.725], [0.063, 0.563, 0.725], [0.662, 0.162, 0.725], [0.838, 0.937, 0.275], [0.437, 0.338, 0.275], [0.338, 0.838, 0.275], [0.937, 0.437, 0.275], [0.379, 0.879, 0.000], [0.879, 0.621, 0.000], [0.121, 0.379, 0.000], [0.621, 0.121, 0.000], [0.750, 0.750, 0.500], [0.250, 0.250, 0.500], [0.750, 0.250, 0.500], [0.250, 0.750, 0.500]]}

***

Entry 8:
{"formula": "La2Tb6CePm", "functional": "PBE", "state": "optimized geometry", "volume_a3_per_atom": 33.635, "ef_mev_per_atom": 235, "cell": [[-8.398, -2.714, 2.320], [2.570, -5.575, 2.779], [0.941, 5.958, 2.914]], "species": ["Tb", "Tb", "Tb", "Tb", "Tb", "Tb", "Ce", "Pm", "La", "La"], "frac_coords": [[0.804, 0.426, 0.364], [0.418, 0.627, 0.255], [0.196, 0.062, 0.636], [0.804, 0.938, 0.364], [0.196, 0.574, 0.636], [0.582, 0.373, 0.745], [0.000, 0.500, 0.000], [0.500, 0.000, 0.000], [0.832, 0.919, 0.838], [0.168, 0.081, 0.162]]}